PBE Ge2HPdCl, relaxed; total magnetization = 0.00 μB/cell; electronic total energy = -3.307 eV per atom
1.0
-4.314 2.061 0.813
-2.240 -3.708 -2.488
-0.423 -2.513 4.126
H Ge Pd Cl
1 2 1 1
direct
0.500 0.500 0.500
0.000 0.000 0.500
0.500 0.000 0.000
0.000 0.000 0.000
0.000 0.500 0.000